Record 1
{
  "formula": "LiMnMoOs",
  "functional": "PBE",
  "state": "relaxed",
  "n_ef_per_ev_cell": 3.94,
  "delta_e_f_mev_per_atom": 191,
  "magmom_total_mub_per_fu": 3.7,
  "spacegroup": "F-43m",
  "crystal_system": "cubic",
  "total_energy_ev_per_atom": -8.095,
  "lattice": [[4.305, 0.000, 0.000], [2.152, 3.728, 0.000], [2.152, 1.243, 3.515]],
  "species": ["Li", "Os", "Mn", "Mo"],
  "fractional_positions": [[0.750, 0.750, 0.750], [0.250, 0.250, 0.250], [0.000, 0.000, 0.000], [0.500, 0.500, 0.500]]
}

Record 2
{
  "formula": "RbLiMnMo2",
  "functional": "PBE",
  "state": "relaxed",
  "n_ef_per_ev_cell": 10.18,
  "delta_e_f_mev_per_atom": 2971,
  "magmom_total_mub_per_fu": 0.9,
  "spacegroup": "P4/mmm",
  "crystal_system": "tetragonal",
  "total_energy_ev_per_atom": -3.771,
  "lattice": [[-0.902, 4.591, 1.154], [-2.369, 0.344, -3.222], [-3.784, -1.405, 2.632]],
  "species": ["Rb", "Li", "Mo", "Mo", "Mn"],
  "fractional_positions": [[0.000, 0.000, 0.000], [0.000, 0.500, 0.000], [0.500, 0.000, 0.000], [0.000, 0.000, 0.500], [0.500, 0.500, 0.500]]
}

Record 3
{
  "formula": "LiMnMoRu",
  "functional": "PBE",
  "state": "relaxed",
  "n_ef_per_ev_cell": 2.53,
  "delta_e_f_mev_per_atom": 143,
  "magmom_total_mub_per_fu": 2.1,
  "spacegroup": "F-43m",
  "crystal_system": "cubic",
  "total_energy_ev_per_atom": -7.654,
  "lattice": [[4.241, 0.000, 0.000], [2.120, 3.673, 0.000], [2.120, 1.224, 3.463]],
  "species": ["Ru", "Mn", "Li", "Mo"],
  "fractional_positions": [[0.750, 0.750, 0.750], [0.250, 0.250, 0.250], [0.000, 0.000, 0.000], [0.500, 0.500, 0.500]]
}